i.
DFT (PBE-GGA) results for La3Sm3Th2 after structural relaxation.

Geometry as extended XYZ:
```
8
Lattice="6.317 0.000 0.000 -2.184 5.945 0.000 -2.076 -2.965 7.308" Properties=species:S:1:pos:R:3 pbc="T T T"
La 0.000 0.000 0.000
La -1.096 2.973 1.948
La 3.153 0.007 5.360
Sm -1.095 2.979 5.418
Sm 2.067 2.973 0.000
Sm 3.152 0.002 1.890
Th -0.004 0.003 3.672
Th 2.062 2.977 3.635
```

***

ii.
DFT (PBE-GGA) results for La3Sm3Th2 after structural relaxation.

Geometry as extended XYZ:
```
16
Lattice="5.100 0.000 0.000 0.000 5.131 0.000 0.000 0.000 21.098" Properties=species:S:1:pos:R:3 pbc="T T T"
La 0.000 0.000 0.000
La 0.000 2.566 2.763
La 0.000 2.566 18.334
La 2.550 0.000 7.786
La 2.550 0.000 13.312
La 2.550 2.566 10.549
Sm 0.000 0.000 10.549
Sm 0.000 2.566 7.796
Sm 0.000 2.566 13.302
Sm 2.550 0.000 2.753
Sm 2.550 0.000 18.344
Sm 2.550 2.566 0.000
Th 0.000 0.000 5.273
Th 0.000 0.000 15.825
Th 2.550 2.566 5.276
Th 2.550 2.566 15.822
```

***

What should be chosen as the most stable of them? Choose ii.

***

i.
DFT (PBE-GGA) results for La2Sm8Th after structural relaxation.

Geometry as extended XYZ:
```
11
Lattice="9.778 -3.464 0.000 9.778 3.464 0.000 -0.461 0.000 5.741" Properties=species:S:1:pos:R:3 pbc="T T T"
La 4.168 0.000 1.468
La 14.927 0.000 4.274
Sm 0.836 0.000 1.303
Sm 7.223 1.803 1.593
Sm 5.899 0.000 4.476
Sm 11.872 1.803 4.148
Sm 7.223 -1.803 1.593
Sm 13.196 0.000 1.266
Sm 11.872 -1.803 4.148
Sm 18.259 0.000 4.439
Th 9.778 0.000 0.000
```

***

ii.
DFT (PBE-GGA) results for La2Sm8Th after structural relaxation.

Geometry as extended XYZ:
```
11
Lattice="9.292 -2.578 0.000 9.292 2.578 0.000 -2.132 0.000 7.879" Properties=species:S:1:pos:R:3 pbc="T T T"
La 3.951 0.000 1.073
La 12.500 0.000 6.806
Sm 0.307 0.000 1.837
Sm 1.037 0.000 5.307
Sm 4.703 0.000 4.679
Sm 7.530 0.000 0.398
Sm 8.921 0.000 7.480
Sm 11.748 0.000 3.200
Sm 15.414 0.000 2.572
Sm 16.144 0.000 6.042
Th 8.225 0.000 3.939
```

***

What should be chosen as the most stable of them? Choose ii.

***

i.
DFT (PBE-GGA) results for La2SmTh after structural relaxation.

Geometry as extended XYZ:
```
8
Lattice="3.620 0.000 0.000 0.018 7.231 0.000 0.006 3.599 10.623" Properties=species:S:1:pos:R:3 pbc="T T T"
La 0.004 1.806 2.522
La 3.640 9.024 8.101
La 1.812 3.719 5.313
La 1.832 7.111 5.310
Sm 3.630 5.410 8.180
Sm 0.014 5.420 2.443
Th 1.810 0.000 0.000
Th 1.819 3.616 0.000
```

***

ii.
DFT (PBE-GGA) results for La2SmTh after structural relaxation.

Geometry as extended XYZ:
```
16
Lattice="8.247 0.000 0.000 0.000 8.247 0.000 0.000 0.000 8.247" Properties=species:S:1:pos:R:3 pbc="T T T"
La 2.062 2.062 2.062
La 2.062 2.062 6.186
La 2.062 6.186 2.062
La 2.062 6.186 6.186
La 6.186 2.062 2.062
La 6.186 2.062 6.186
La 6.186 6.186 2.062
La 6.186 6.186 6.186
Sm 0.000 0.000 0.000
Sm 0.000 4.124 4.124
Sm 4.124 0.000 4.124
Sm 4.124 4.124 0.000
Th 0.000 0.000 4.124
Th 0.000 4.124 0.000
Th 4.124 0.000 0.000
Th 4.124 4.124 4.124
```

***

What should be chosen as the most stable of them? Choose i.